## Li4FeTe3O12 (PBE with a Hubbard U)

Data for an optimized crystal structure of Li4FeTe3O12.

**ρ**: 5.08 Mg/m³
**SG**: P1 (1)
**V**: 10.758 A^3/atom
**Energy relative to the lowest polymorph listed for this composition**: 28.6 meV per atom
**Density of states at the Fermi level**: 0.17 states/eV/atom

Cell: 5.203 5.487 7.557 Å, 85.85 89.91 89.90°
Last column: magnetic moment on the atom in μB.
Element x y z (fractional)
1 Li 0.005 0.599 0.811  0.00
2 Li 0.505 0.059 0.806  0.00
3 Li 0.996 0.584 0.265  0.00
4 Li 0.495 0.051 0.262  0.00
5 O 0.875 0.982 0.739  0.04
6 O 0.364 0.475 0.248  0.00
7 O 0.696 0.805 0.421  0.00
8 O 0.672 0.186 0.048  0.10
9 O 0.812 0.303 0.421  0.00
10 O 0.124 0.971 0.259  0.07
11 O 0.306 0.793 0.933  0.07
12 O 0.806 0.677 0.049  0.06
13 O 0.639 0.484 0.750  0.01
14 O 0.206 0.311 0.926  0.10
15 O 0.325 0.168 0.561  0.00
16 O 0.174 0.675 0.563  0.00
17 Te 0.001 0.001 0.501  0.01
18 Te 0.499 0.501 0.000  0.03
19 Te 0.500 0.500 0.504  -0.01
20 Fe 0.001 0.017 0.003  4.33